Below is an optimized crystal structure of Na2MnOsO6, with properties calculated at the PBE with a Hubbard U level.

Its total DFT energy (no corrections) is -129.52 eV per cell. Its crystal system is monoclinic.

The structure belongs to space group P2_1/c (No. 14); the cell edges are 5.417, 5.521 and 9.547 Å and the angles 90.00°, 124.52° and 90.00°. The inequivalent atoms are Na at (0.239, 0.040, 0.251), Mn at (0.500, 0.000, 0.000), Os at (0.000, 0.000, 0.500), O at (0.146, 0.220, 0.955), O at (0.239, 0.695, 0.959) and O at (0.314, 0.021, 0.731).